1.
VASP calculation (PBE) on crystalline ZrAs2Ru at its relaxed geometry.

```
data_ZrAs2Ru
_chemical_formula_sum 'Zr2 As4 Ru2'
_space_group_name_H-M_alt 'C m m m'
_space_group_IT_number 65
_space_group_name_Hall '-C 2 2'
_cell_length_a 4.089
_cell_length_b 4.897
_cell_length_c 6.783
_cell_angle_alpha 90.00
_cell_angle_beta 90.00
_cell_angle_gamma 90.00
loop_
_atom_site_label
_atom_site_fract_x
_atom_site_fract_y
_atom_site_fract_z
Zr1 0.000 0.000 0.000
As1 0.000 0.500 0.274
Ru1 0.000 0.000 0.500
```

For the magnetization, the calculation gives 0.0 μB/cell. Its offset from the most stable computed form is 0.278 eV per atom. The value obtained for the formation energy is -0.3272 eV/atom. The density of states at the Fermi level is 4.2 states/eV/f.u.

2.
VASP calculation (PBE) on crystalline KTa2VZn at its relaxed geometry.

```
data_KTa2VZn
_chemical_formula_sum 'K1 Ta2 V1 Zn1'
_space_group_name_H-M_alt 'P 4/m m m'
_space_group_IT_number 123
_space_group_name_Hall '-P 4 2'
_cell_length_a 4.639
_cell_length_b 4.639
_cell_length_c 4.676
_cell_angle_alpha 90.00
_cell_angle_beta 90.00
_cell_angle_gamma 90.00
loop_
_atom_site_label
_atom_site_fract_x
_atom_site_fract_y
_atom_site_fract_z
K1 0.000 0.000 0.000
Ta1 0.000 0.500 0.000
V1 0.500 0.500 0.500
Zn1 0.000 0.000 0.500
```

For the magnetization, the calculation gives 0.0 μB/cell. The value obtained for the formation energy is 2.8755 eV/atom. The density of states at the Fermi level is 8.2 states/eV/f.u.

3.
VASP calculation (PBE) on crystalline Tb6Nd2Sm3Ho at its relaxed geometry.

```
data_Tb6Nd2Sm3Ho
_chemical_formula_sum 'Tb12 Nd4 Sm6 Ho2'
_space_group_name_H-M_alt 'C 1 2/m 1'
_space_group_IT_number 12
_space_group_name_Hall '-C 2y'
_cell_length_a 6.229
_cell_length_b 10.782
_cell_length_c 11.900
_cell_angle_alpha 90.00
_cell_angle_beta 100.02
_cell_angle_gamma 90.00
loop_
_atom_site_label
_atom_site_fract_x
_atom_site_fract_y
_atom_site_fract_z
Tb1 0.249 0.000 0.250
Tb2 0.250 0.166 0.750
Nd1 0.000 0.334 0.500
Sm1 0.000 0.167 0.000
Sm2 0.000 0.500 0.000
Ho1 0.000 0.000 0.500
```

For the magnetization, the calculation gives 0.0 μB/cell. The value obtained for the formation energy is 0.0130 eV/atom. The density of states at the Fermi level is 15.0 states/eV/f.u.

4.
VASP calculation (PBE) on crystalline TaSn2Au at its relaxed geometry.

```
data_TaSn2Au
_chemical_formula_sum 'Ta4 Sn8 Au4'
_space_group_name_H-M_alt 'F m -3 m'
_space_group_IT_number 225
_space_group_name_Hall '-F 4 2 3'
_cell_length_a 6.955
_cell_length_b 6.955
_cell_length_c 6.955
_cell_angle_alpha 90.00
_cell_angle_beta 90.00
_cell_angle_gamma 90.00
loop_
_atom_site_label
_atom_site_fract_x
_atom_site_fract_y
_atom_site_fract_z
Ta1 0.000 0.000 0.000
Sn1 0.250 0.250 0.250
Au1 0.000 0.000 0.500
```

For the magnetization, the calculation gives 0.0 μB/cell. Its offset from the most stable computed form is 0.000 eV per atom. The value obtained for the formation energy is 0.4150 eV/atom. The density of states at the Fermi level is 3.1 states/eV/f.u.

5.
VASP calculation (PBE) on crystalline Sr2CaPr at its relaxed geometry.

```
data_Sr2CaPr
_chemical_formula_sum 'Sr6 Ca3 Pr3'
_space_group_name_H-M_alt 'R 3 m'
_space_group_IT_number 160
_space_group_name_Hall 'R 3 -2"'
_cell_length_a 3.9840
_cell_length_b 3.9840
_cell_length_c 39.6036
_cell_angle_alpha 90.00
_cell_angle_beta 90.00
_cell_angle_gamma 120.00
loop_
_atom_site_label
_atom_site_fract_x
_atom_site_fract_y
_atom_site_fract_z
Sr1 0.0000 0.0000 0.0000
Sr2 0.0000 0.0000 0.1621
Ca1 0.0000 0.0000 0.5812
Pr1 0.0000 0.0000 0.7476
```

For the magnetization, the calculation gives 2.8 μB/cell. Its offset from the most stable computed form is 0.000 eV per atom. The value obtained for the formation energy is 0.0966 eV/atom. The density of states at the Fermi level is 5.9 states/eV/f.u.

6.
VASP calculation (PBE) on crystalline DyYHo2Sc at its relaxed geometry.

```
data_DyYHo2Sc
_chemical_formula_sum 'Dy4 Y4 Ho8 Sc4'
_space_group_name_H-M_alt 'C m c m'
_space_group_IT_number 63
_space_group_name_Hall '-C 2c 2'
_cell_length_a 8.118
_cell_length_b 11.191
_cell_length_c 7.059
_cell_angle_alpha 90.00
_cell_angle_beta 90.00
_cell_angle_gamma 90.00
loop_
_atom_site_label
_atom_site_fract_x
_atom_site_fract_y
_atom_site_fract_z
Dy1 0.000 0.225 0.250
Y1 0.000 0.237 0.750
Ho1 0.198 0.000 0.000
Sc1 0.000 0.491 0.250
```

For the magnetization, the calculation gives 0.0 μB/cell. The value obtained for the formation energy is 0.3483 eV/atom. The density of states at the Fermi level is 6.6 states/eV/f.u.

7.
VASP calculation (PBE) on crystalline KCuSeBr6 at its relaxed geometry.

```
data_KCuSeBr6
_chemical_formula_sum 'K1 Cu1 Se1 Br6'
_space_group_name_H-M_alt 'P 1'
_space_group_IT_number 1
_space_group_name_Hall 'P 1'
_cell_length_a 6.710
_cell_length_b 7.142
_cell_length_c 7.337
_cell_angle_alpha 86.31
_cell_angle_beta 62.84
_cell_angle_gamma 81.82
loop_
_atom_site_label
_atom_site_fract_x
_atom_site_fract_y
_atom_site_fract_z
K1 0.000 0.000 0.000
Cu1 0.597 0.500 0.807
Se1 0.308 0.501 0.386
Br1 0.010 0.782 0.413
Br2 0.307 0.321 0.071
Br3 0.391 0.682 0.644
Br4 0.578 0.220 0.412
Br5 0.622 0.681 0.072
Br6 0.967 0.319 0.645
```

Its calculated total energy is -0.189 Ry/atom. For the magnetization, the calculation gives 0.1 μB/cell.

8.
VASP calculation (PBE) on crystalline Ce6Fe2Sn at its relaxed geometry.

```
data_Ce6Fe2Sn
_chemical_formula_sum 'Ce12 Fe4 Sn2'
_space_group_name_H-M_alt 'C 1 2/m 1'
_space_group_IT_number 12
_space_group_name_Hall '-C 2y'
_cell_length_a 10.575
_cell_length_b 4.646
_cell_length_c 8.607
_cell_angle_alpha 90.00
_cell_angle_beta 92.68
_cell_angle_gamma 90.00
loop_
_atom_site_label
_atom_site_fract_x
_atom_site_fract_y
_atom_site_fract_z
Ce1 0.081 0.000 0.368
Ce2 0.090 0.500 0.682
Ce3 0.212 0.500 0.122
Fe1 0.242 0.500 0.376
Sn1 0.000 0.000 0.000
```

For the magnetization, the calculation gives 0.0 μB/cell. The value obtained for the formation energy is -0.2378 eV/atom. The density of states at the Fermi level is 16.5 states/eV/f.u.

9.
VASP calculation (PBE) on crystalline K2MgCd6Ag at its relaxed geometry.

```
data_K2MgCd6Ag
_chemical_formula_sum 'K4 Mg2 Cd12 Ag2'
_space_group_name_H-M_alt 'C 1 2/m 1'
_space_group_IT_number 12
_space_group_name_Hall '-C 2y'
_cell_length_a 10.970
_cell_length_b 10.958
_cell_length_c 7.754
_cell_angle_alpha 90.00
_cell_angle_beta 134.88
_cell_angle_gamma 90.00
loop_
_atom_site_label
_atom_site_fract_x
_atom_site_fract_y
_atom_site_fract_z
K1 0.000 0.250 0.000
Mg1 0.000 0.000 0.500
Cd1 0.000 0.253 0.500
Cd2 0.247 0.500 0.500
Cd3 0.247 0.500 0.993
Ag1 0.000 0.500 0.500
```

For the magnetization, the calculation gives 0.0 μB/cell. The value obtained for the formation energy is 0.0701 eV/atom. The density of states at the Fermi level is 4.8 states/eV/f.u.

10.
VASP calculation (PBE) on crystalline HoMgAlHg at its relaxed geometry.

```
data_HoMgAlHg
_chemical_formula_sum 'Ho4 Mg4 Al4 Hg4'
_space_group_name_H-M_alt 'F -4 3 m'
_space_group_IT_number 216
_space_group_name_Hall 'F -4 2 3'
_cell_length_a 7.088
_cell_length_b 7.088
_cell_length_c 7.088
_cell_angle_alpha 90.00
_cell_angle_beta 90.00
_cell_angle_gamma 90.00
loop_
_atom_site_label
_atom_site_fract_x
_atom_site_fract_y
_atom_site_fract_z
Ho1 0.000 0.000 0.000
Mg1 0.000 0.000 0.500
Al1 0.250 0.250 0.750
Hg1 0.250 0.250 0.250
```

For the magnetization, the calculation gives 0.0 μB/cell. The value obtained for the formation energy is -0.3116 eV/atom. The density of states at the Fermi level is 1.2 states/eV/f.u.

11.
VASP calculation (PBE) on crystalline Na2Sn13 at its relaxed geometry.

```
data_Na2Sn13
_chemical_formula_sum 'Na6 Sn39'
_space_group_name_H-M_alt 'R -3 m'
_space_group_IT_number 166
_space_group_name_Hall '-R 3 2"'
_cell_length_a 8.4743
_cell_length_b 8.4743
_cell_length_c 23.3773
_cell_angle_alpha 90.00
_cell_angle_beta 90.00
_cell_angle_gamma 120.00
loop_
_atom_site_label
_atom_site_fract_x
_atom_site_fract_y
_atom_site_fract_z
Na1 0.0000 0.0000 0.1403
Sn1 0.0000 0.0000 0.0000
Sn2 0.0770 0.5385 0.4122
Sn3 0.0796 0.5398 0.2838
```

For the magnetization, the calculation gives 0.0 μB/cell. The value obtained for the formation energy is 0.0531 eV/atom. The density of states at the Fermi level is 4.7 states/eV/f.u.

12.
VASP calculation (PBE) on crystalline HoTm4Co at its relaxed geometry.

```
data_HoTm4Co
_chemical_formula_sum 'Ho2 Tm8 Co2'
_space_group_name_H-M_alt 'C 1 2/m 1'
_space_group_IT_number 12
_space_group_name_Hall '-C 2y'
_cell_length_a 11.767
_cell_length_b 3.502
_cell_length_c 8.190
_cell_angle_alpha 90.00
_cell_angle_beta 111.03
_cell_angle_gamma 90.00
loop_
_atom_site_label
_atom_site_fract_x
_atom_site_fract_y
_atom_site_fract_z
Ho1 0.000 0.000 0.000
Tm1 0.127 0.500 0.377
Tm2 0.169 0.500 0.791
Co1 0.000 0.000 0.500
```

For the magnetization, the calculation gives 0.0 μB/cell. The value obtained for the formation energy is -0.0590 eV/atom. The density of states at the Fermi level is 8.2 states/eV/f.u.

Among the records above, which one has the highest magnetization? Sr2CaPr

Which value of magnetization does entry 10 give? 0.0 μB/cell

The highest magnetization belongs to which entry? Sr2CaPr

Which of these has the highest magnetization? Sr2CaPr